A plane-wave DFT calculation with meta-GGA SCAN was carried out for Li2BeSe at its PBEsol-relaxed geometry.

Cell and atoms, written as CIF:
```
data_Li2BeSe
_cell_length_a 3.493
_cell_length_b 3.678
_cell_length_c 9.710
_cell_angle_alpha 90.00
_cell_angle_beta 90.00
_cell_angle_gamma 90.00
_space_group_name_H-M_alt 'A m m 2'
_space_group_IT_number 38
loop_
_space_group_symop_operation_xyz
'x,y,z'
'-x,-y,z'
'-x,y,z'
'x,-y,z'
'x,y+1/2,z+1/2'
'-x,-y+1/2,z+1/2'
'-x,y+1/2,z+1/2'
'x,-y+1/2,z+1/2'
loop_
_atom_site_label
_atom_site_fract_x
_atom_site_fract_y
_atom_site_fract_z
Li1 0.000 0.000 0.000
Li2 0.500 0.000 0.311
Be1 0.500 0.000 0.589
Se1 0.000 0.000 0.724
```

Calculated volume ... 15.59 A^3/atom
Relative energy among the computed polymorphs ... 0.000 eV/f.u.
Final energy ... -7.812 eV per atom
Raw formation energy ... -49 kJ per mole of atoms

***

A plane-wave DFT calculation with meta-GGA SCAN was carried out for LiBe4Se at its PBEsol-relaxed geometry.

Cell and atoms, written as CIF:
```
data_LiBe4Se
_cell_length_a 6.420
_cell_length_b 6.420
_cell_length_c 6.420
_cell_angle_alpha 90.00
_cell_angle_beta 90.00
_cell_angle_gamma 90.00
_space_group_name_H-M_alt 'F -4 3 m'
_space_group_IT_number 216
_space_group_name_Hall 'F -4 2 3'
loop_
_atom_site_label
_atom_site_fract_x
_atom_site_fract_y
_atom_site_fract_z
Li1 0.000 0.000 0.000
Be1 0.127 0.127 0.627
Se1 0.250 0.250 0.250
```

Calculated volume ... 11.02 A^3/atom
Final energy ... -6.359 eV per atom
Raw formation energy ... 28 kJ per mole of atoms

***

A plane-wave DFT calculation with meta-GGA SCAN was carried out for LiBe2Si at its PBEsol-relaxed geometry.

Cell and atoms, written as CIF:
```
data_LiBe2Si
_cell_length_a 5.530
_cell_length_b 5.530
_cell_length_c 5.530
_cell_angle_alpha 90.00
_cell_angle_beta 90.00
_cell_angle_gamma 90.00
_space_group_name_H-M_alt 'F -4 3 m'
_space_group_IT_number 216
_space_group_name_Hall 'F -4 2 3'
loop_
_atom_site_label
_atom_site_fract_x
_atom_site_fract_y
_atom_site_fract_z
Li1 0.000 0.000 0.000
Be1 0.000 0.000 0.500
Be2 0.250 0.250 0.750
Si1 0.250 0.250 0.250
```

Calculated volume ... 10.57 A^3/atom
Final energy ... -5.028 eV per atom
Raw formation energy ... 24 kJ per mole of atoms

***

A plane-wave DFT calculation with meta-GGA SCAN was carried out for Li2BeSi at its PBEsol-relaxed geometry.

Cell and atoms, written as CIF:
```
data_Li2BeSi
_cell_length_a 5.698
_cell_length_b 5.698
_cell_length_c 5.698
_cell_angle_alpha 90.00
_cell_angle_beta 90.00
_cell_angle_gamma 90.00
_space_group_name_H-M_alt 'F -4 3 m'
_space_group_IT_number 216
_space_group_name_Hall 'F -4 2 3'
loop_
_atom_site_label
_atom_site_fract_x
_atom_site_fract_y
_atom_site_fract_z
Li1 0.000 0.000 0.000
Li2 0.250 0.250 0.250
Be1 0.250 0.250 0.750
Si1 0.000 0.000 0.500
```

Calculated volume ... 11.56 A^3/atom
Relative energy among the computed polymorphs ... 0.000 eV/f.u.
Final energy ... -4.966 eV per atom
Raw formation energy ... -17 kJ per mole of atoms

***

Among the records above, which one has the highest calculated volume?
Li2BeSe